Entry from Alexandria: crystalline TmScPd14 at its relaxed geometry (PBE).

## Properties
The space group is P4/mmm, No. 123. The value obtained for the energy of formation is -425 meV/atom.

Cell lengths 5.6736, 5.6736, 7.9809 Å; angles 90.00, 90.00, 90.00 degrees
With the nearest neighbours (Å) after each atom.
Element x y z (fractional)
Pd (0.6272, 0.1228, 0.2469)  10 Pd 2.80-2.86, 1 Sc 2.83, 1 Tm 2.86
Pd (0.8750, 0.3750, 0.5000)  2 Sc 2.84, 2 Tm 2.84, 8 Pd 2.85
Tm (0.3750, 0.3750, 0.5000)  12 Pd 2.84-2.86
Pd (0.1229, 0.1229, 0.7531)  10 Pd 2.80-2.86, 1 Sc 2.83, 1 Tm 2.86
Pd (0.1228, 0.6272, 0.7531)  10 Pd 2.80-2.86, 1 Sc 2.83, 1 Tm 2.86
Pd (0.1229, 0.1229, 0.2469)  10 Pd 2.80-2.86, 1 Sc 2.83, 1 Tm 2.86
Pd (0.8750, 0.3750, 0.0000)  12 Pd 2.81-2.84
Pd (0.8750, 0.8750, 0.0000)  12 Pd 2.80-2.84
Pd (0.6272, 0.1228, 0.7531)  10 Pd 2.80-2.86, 1 Sc 2.83, 1 Tm 2.86
Pd (0.3750, 0.8750, 0.0000)  12 Pd 2.81-2.84
Pd (0.6271, 0.6271, 0.2469)  10 Pd 2.80-2.86, 1 Sc 2.83, 1 Tm 2.86
Sc (0.8750, 0.8750, 0.5000)  12 Pd 2.83-2.84
Pd (0.1228, 0.6272, 0.2469)  10 Pd 2.80-2.86, 1 Sc 2.83, 1 Tm 2.86
Pd (0.6271, 0.6271, 0.7531)  10 Pd 2.80-2.86, 1 Sc 2.83, 1 Tm 2.86
Pd (0.3750, 0.8750, 0.5000)  2 Sc 2.84, 2 Tm 2.84, 8 Pd 2.85
Pd (0.3750, 0.3750, 0.0000)  12 Pd 2.82-2.84